A plane-wave DFT calculation with PBE-GGA was carried out for BaTl2SiTe4 after structural relaxation.

Magnetic moment in μB/cell: 0.000
DFT total energy in eV/f.u.: -27.56
Formation energy (no corrections) in meV/atom: -364

CIF file:
```
data_BaTl2SiTe4
_chemical_formula_sum 'Ba4 Tl8 Si4 Te16'
_cell_length_a 8.284
_cell_length_b 10.271
_cell_length_c 13.213
_cell_angle_alpha 90.00
_cell_angle_beta 90.00
_cell_angle_gamma 90.00
_space_group_name_H-M_alt 'I m m a'
_space_group_IT_number 74
_space_group_name_Hall '-I 2b 2'
loop_
_atom_site_label
_atom_site_type_symbol
_atom_site_fract_x
_atom_site_fract_y
_atom_site_fract_z
Ba1 Ba 0.000 0.000 0.000
Tl1 Tl 0.000 0.000 0.500
Tl2 Tl 0.250 0.250 0.250
Si1 Si 0.250 0.250 0.750
Te1 Te 0.000 0.058 0.746
Te2 Te 0.237 0.250 0.527
```